DFT (PBE) results for a relaxed structure of CuNiAsOs.

Computed properties:
VASP energy ... -24.20 eV per formula unit
Energy relative to the lowest polymorph listed for this composition ... 0.000 eV/atom

Cell: 5.9426 5.9426 5.9426 Å, 90.00 90.00 90.00°
Last column: nearest neighbours and their distance in Å.
Space group F-43m (No. 216)
Inequivalent atoms, fractional coordinates:
Cu1 0.0000 0.0000 0.0000 x4  4 Ni 2.57, 4 As 2.57
Ni1 0.2500 0.2500 0.2500 x4  4 Os 2.57, 4 Cu 2.57
As1 0.2500 0.2500 0.7500 x4  4 Os 2.57, 4 Cu 2.57
Os1 0.0000 0.0000 0.5000 x4  4 As 2.57, 4 Ni 2.57


DFT (PBE) results for a relaxed structure of CuNiAsOs.

Computed properties:
VASP energy ... -22.83 eV per formula unit
Energy relative to the lowest polymorph listed for this composition ... 0.343 eV/atom

Cell: 5.9978 5.9978 5.9978 Å, 90.00 90.00 90.00°
Last column: nearest neighbours and their distance in Å.
Space group F-43m (No. 216)
Inequivalent atoms, fractional coordinates:
Cu1 0.0000 0.0000 0.0000 x4  4 As 2.60, 4 Os 2.60
Ni1 0.0000 0.0000 0.5000 x4  4 Os 2.60, 4 As 2.60
As1 0.2500 0.2500 0.7500 x4  4 Ni 2.60, 4 Cu 2.60
Os1 0.2500 0.2500 0.2500 x4  4 Ni 2.60, 4 Cu 2.60


DFT (PBE) results for a relaxed structure of CuReNiAs.

Computed properties:
VASP energy ... -23.72 eV per formula unit
Energy relative to the lowest polymorph listed for this composition ... 0.395 eV/atom

Cell: 6.0625 6.0625 6.0625 Å, 90.00 90.00 90.00°
Last column: nearest neighbours and their distance in Å.
Space group F-43m (No. 216)
Inequivalent atoms, fractional coordinates:
Cu1 0.0000 0.0000 0.0000 x4  4 Re 2.63, 4 As 2.63
Re1 0.2500 0.2500 0.2500 x4  4 Ni 2.63, 4 Cu 2.63
Ni1 0.0000 0.0000 0.5000 x4  4 As 2.63, 4 Re 2.63
As1 0.2500 0.2500 0.7500 x4  4 Ni 2.63, 4 Cu 2.63


DFT (PBE) results for a relaxed structure of CuReNiAs.

Computed properties:
VASP energy ... -25.30 eV per formula unit
Energy relative to the lowest polymorph listed for this composition ... 0.000 eV/atom

Cell: 5.9562 5.9562 5.9562 Å, 90.00 90.00 90.00°
Last column: nearest neighbours and their distance in Å.
Space group F-43m (No. 216)
Inequivalent atoms, fractional coordinates:
Cu1 0.0000 0.0000 0.0000 x4  4 Ni 2.58, 4 As 2.58
Re1 0.0000 0.0000 0.5000 x4  4 As 2.58, 4 Ni 2.58
Ni1 0.2500 0.2500 0.2500 x4  4 Re 2.58, 4 Cu 2.58
As1 0.2500 0.2500 0.7500 x4  4 Cu 2.58, 4 Re 2.58


DFT (PBE) results for a relaxed structure of ScCu4NiAs2.

Computed properties:
VASP energy ... -36.79 eV per formula unit

Cell: 4.0344 4.0344 6.8040 Å, 90.00 90.00 90.00°
Last column: nearest neighbours and their distance in Å.
Space group P4/mmm (No. 123)
Inequivalent atoms, fractional coordinates:
Sc1 0.0000 0.0000 0.0000 x1  8 Cu 2.78, 4 As 2.85
Cu1 0.0000 0.5000 0.2804 x4  4 As 2.51-2.78, 2 Ni 2.51, 2 Sc 2.78
Ni1 0.5000 0.5000 0.5000 x1  8 Cu 2.51
As1 0.0000 0.0000 0.5000 x1  8 Cu 2.51
As2 0.5000 0.5000 0.0000 x1  8 Cu 2.78, 4 Sc 2.85


DFT (PBE) results for a relaxed structure of ScCuNiAs.

Computed properties:
VASP energy ... -21.79 eV per formula unit
Energy relative to the lowest polymorph listed for this composition ... 0.000 eV/atom

Cell: 6.1637 6.1637 6.1637 Å, 90.00 90.00 90.00°
Last column: nearest neighbours and their distance in Å.
Space group F-43m (No. 216)
Inequivalent atoms, fractional coordinates:
Sc1 0.0000 0.0000 0.0000 x4  4 As 2.67, 4 Cu 2.67
Cu1 0.2500 0.2500 0.7500 x4  4 Ni 2.67, 4 Sc 2.67
Ni1 0.0000 0.0000 0.5000 x4  4 Cu 2.67, 4 As 2.67
As1 0.2500 0.2500 0.2500 x4  4 Ni 2.67, 4 Sc 2.67


DFT (PBE) results for a relaxed structure of ScCuNiAs.

Computed properties:
VASP energy ... -21.74 eV per formula unit
Energy relative to the lowest polymorph listed for this composition ... 0.014 eV/atom

Cell: 6.1434 6.1434 6.1434 Å, 90.00 90.00 90.00°
Last column: nearest neighbours and their distance in Å.
Space group F-43m (No. 216)
Inequivalent atoms, fractional coordinates:
Sc1 0.0000 0.0000 0.0000 x4  4 Ni 2.66, 4 Cu 2.66
Cu1 0.2500 0.2500 0.2500 x4  4 As 2.66, 4 Sc 2.66
Ni1 0.2500 0.2500 0.7500 x4  4 As 2.66, 4 Sc 2.66
As1 0.0000 0.0000 0.5000 x4  4 Cu 2.66, 4 Ni 2.66


DFT (PBE) results for a relaxed structure of ScCuNiAs.

Computed properties:
VASP energy ... -21.60 eV per formula unit
Energy relative to the lowest polymorph listed for this composition ... 0.048 eV/atom

Cell: 6.1890 6.1890 6.1890 Å, 90.00 90.00 90.00°
Last column: nearest neighbours and their distance in Å.
Space group F-43m (No. 216)
Inequivalent atoms, fractional coordinates:
Sc1 0.0000 0.0000 0.0000 x4  4 As 2.68, 4 Ni 2.68
Cu1 0.0000 0.0000 0.5000 x4  4 As 2.68, 4 Ni 2.68
Ni1 0.2500 0.2500 0.2500 x4  4 Sc 2.68, 4 Cu 2.68
As1 0.2500 0.2500 0.7500 x4  4 Sc 2.68, 4 Cu 2.68


DFT (PBE) results for a relaxed structure of TaCuNiAs.

Computed properties:
VASP energy ... -25.57 eV per formula unit
Energy relative to the lowest polymorph listed for this composition ... 0.017 eV/atom

Cell: 6.0869 6.0869 6.0869 Å, 90.00 90.00 90.00°
Last column: nearest neighbours and their distance in Å.
Space group F-43m (No. 216)
Inequivalent atoms, fractional coordinates:
Ta1 0.0000 0.0000 0.0000 x4  4 As 2.64, 4 Cu 2.64
Cu1 0.2500 0.2500 0.7500 x4  4 Ta 2.64, 4 Ni 2.64
Ni1 0.0000 0.0000 0.5000 x4  4 Cu 2.64, 4 As 2.64
As1 0.2500 0.2500 0.2500 x4  4 Ni 2.64, 4 Ta 2.64


DFT (PBE) results for a relaxed structure of TaCuNiAs.

Computed properties:
VASP energy ... -25.64 eV per formula unit
Energy relative to the lowest polymorph listed for this composition ... 0.000 eV/atom

Cell: 6.1128 6.1128 6.1128 Å, 90.00 90.00 90.00°
Last column: nearest neighbours and their distance in Å.
Space group F-43m (No. 216)
Inequivalent atoms, fractional coordinates:
Ta1 0.0000 0.0000 0.0000 x4  4 As 2.65, 4 Ni 2.65
Cu1 0.0000 0.0000 0.5000 x4  4 As 2.65, 4 Ni 2.65
Ni1 0.2500 0.2500 0.7500 x4  4 Ta 2.65, 4 Cu 2.65
As1 0.2500 0.2500 0.2500 x4  4 Ta 2.65, 4 Cu 2.65


DFT (PBE) results for a relaxed structure of TaCuNiAs.

Computed properties:
VASP energy ... -24.80 eV per formula unit
Energy relative to the lowest polymorph listed for this composition ... 0.209 eV/atom

Cell: 6.1451 6.1451 6.1451 Å, 90.00 90.00 90.00°
Last column: nearest neighbours and their distance in Å.
Space group F-43m (No. 216)
Inequivalent atoms, fractional coordinates:
Ta1 0.0000 0.0000 0.0000 x4  4 Cu 2.66, 4 Ni 2.66
Cu1 0.2500 0.2500 0.7500 x4  4 Ta 2.66, 4 As 2.66
Ni1 0.2500 0.2500 0.2500 x4  4 Ta 2.66, 4 As 2.66
As1 0.0000 0.0000 0.5000 x4  4 Ni 2.66, 4 Cu 2.66


DFT (PBE) results for a relaxed structure of CuNiAsW.

Computed properties:
VASP energy ... -25.78 eV per formula unit
Energy relative to the lowest polymorph listed for this composition ... 0.000 eV/atom

Cell: 6.0228 6.0228 6.0228 Å, 90.00 90.00 90.00°
Last column: nearest neighbours and their distance in Å.
Space group F-43m (No. 216)
Inequivalent atoms, fractional coordinates:
Cu1 0.0000 0.0000 0.0000 x4  4 As 2.61, 4 Ni 2.61
Ni1 0.2500 0.2500 0.2500 x4  4 W 2.61, 4 Cu 2.61
As1 0.2500 0.2500 0.7500 x4  4 W 2.61, 4 Cu 2.61
W1 0.0000 0.0000 0.5000 x4  4 As 2.61, 4 Ni 2.61